# PBE PmPr2Ho4, relaxed
data_PmPr2Ho4
_chemical_formula_sum 'Pm4 Pr8 Ho16'
_cell_length_a 11.018
_cell_length_b 11.018
_cell_length_c 8.155
_cell_angle_alpha 90.00
_cell_angle_beta 90.10
_cell_angle_gamma 90.00
_symmetry_space_group_name_H-M 'C 1 2/m 1'
_symmetry_Int_Tables_number 12
loop_
_symmetry_equiv_pos_as_xyz
'x,y,z'
'-x,-y,-z'
'-x,y,-z'
'x,-y,z'
'x+1/2,y+1/2,z'
'-x+1/2,-y+1/2,-z'
'-x+1/2,y+1/2,-z'
'x+1/2,-y+1/2,z'
loop_
_atom_site_label
_atom_site_type_symbol
_atom_site_fract_x
_atom_site_fract_y
_atom_site_fract_z
_atom_site_occupancy
Pm1 Pm 0.000 0.000 0.000 1
Pm2 Pm 0.000 0.000 0.500 1
Pr1 Pr 0.000 0.500 0.000 1
Pr2 Pr 0.000 0.500 0.500 1
Pr3 Pr 0.250 0.250 0.000 1
Ho1 Ho 0.001 0.249 0.281 1
Ho2 Ho 0.249 0.000 0.281 1
Ho3 Ho 0.249 0.000 0.719 1
# Relative energy among the computed polymorphs: 0.41 eV per formula unit
# Crystal system: monoclinic
# Density of states at the Fermi level: 1.731 states/eV/atom
# DFT total energy: -30.41 eV/f.u.

# PBE Pm5Pr2Ho2, relaxed
data_Pm5Pr2Ho2
_chemical_formula_sum 'Pm5 Pr2 Ho2'
_cell_length_a 6.290
_cell_length_b 6.290
_cell_length_c 9.640
_cell_angle_alpha 71.05
_cell_angle_beta 71.05
_cell_angle_gamma 60.02
_symmetry_space_group_name_H-M 'P -1'
_symmetry_Int_Tables_number 2
loop_
_symmetry_equiv_pos_as_xyz
'x,y,z'
'-x,-y,-z'
loop_
_atom_site_label
_atom_site_type_symbol
_atom_site_fract_x
_atom_site_fract_y
_atom_site_fract_z
_atom_site_occupancy
Pm1 Pm 0.000 0.000 0.000 1
Pm2 Pm 0.112 0.445 0.664 1
Pm3 Pm 0.221 0.888 0.335 1
Pr1 Pr 0.333 0.334 0.000 1
Ho1 Ho 0.446 0.779 0.664 1
# Relative energy among the computed polymorphs: 0.00 eV per formula unit
# Crystal system: triclinic
# Density of states at the Fermi level: 1.579 states/eV/atom
# DFT total energy: -42.31 eV/f.u.

# PBE PmPr4Ho8, relaxed
data_PmPr4Ho8
_chemical_formula_sum 'Pm3 Pr12 Ho24'
_cell_length_a 11.0920
_cell_length_b 11.0920
_cell_length_c 13.5495
_cell_angle_alpha 90.00
_cell_angle_beta 90.00
_cell_angle_gamma 120.00
_symmetry_space_group_name_H-M 'R -3 m'
_symmetry_Int_Tables_number 166
_symmetry_space_group_name_Hall '-R 3 2"'
loop_
_atom_site_label
_atom_site_type_symbol
_atom_site_fract_x
_atom_site_fract_y
_atom_site_fract_z
_atom_site_occupancy
Pm1 Pm 0.0000 0.0000 0.0000 1
Pr1 Pr 0.0000 0.0000 0.5000 1
Pr2 Pr 0.0000 0.5000 0.5000 1
Ho1 Ho 0.0000 0.0000 0.2607 1
Ho2 Ho 0.0140 0.5070 0.2459 1
# Crystal system: trigonal
# Density of states at the Fermi level: 1.748 states/eV/atom
# DFT total energy: -53.67 eV/f.u.

# PBE Pm6PrHo8, relaxed
data_Pm6PrHo8
_chemical_formula_sum 'Pm18 Pr3 Ho24'
_cell_length_a 9.0980
_cell_length_b 9.0980
_cell_length_c 20.8267
_cell_angle_alpha 90.00
_cell_angle_beta 90.00
_cell_angle_gamma 120.00
_symmetry_space_group_name_H-M 'R -3'
_symmetry_Int_Tables_number 148
_symmetry_space_group_name_Hall '-R 3'
loop_
_atom_site_label
_atom_site_type_symbol
_atom_site_fract_x
_atom_site_fract_y
_atom_site_fract_z
_atom_site_occupancy
Pm1 Pm 0.0614 0.2468 0.2098 1
Pr1 Pr 0.0000 0.0000 0.5000 1
Ho1 Ho 0.0000 0.0000 0.0765 1
Ho2 Ho 0.0800 0.5547 0.3081 1
# Crystal system: trigonal
# Density of states at the Fermi level: 1.438 states/eV/atom
# DFT total energy: -67.99 eV/f.u.

# PBE Pm2Pr6Ho3, relaxed
data_Pm2Pr6Ho3
_chemical_formula_sum 'Pm4 Pr12 Ho6'
_cell_length_a 4.793
_cell_length_b 4.793
_cell_length_c 34.543
_cell_angle_alpha 90.00
_cell_angle_beta 90.00
_cell_angle_gamma 90.00
_symmetry_space_group_name_H-M 'I 4/m m m'
_symmetry_Int_Tables_number 139
_symmetry_space_group_name_Hall '-I 4 2'
loop_
_atom_site_label
_atom_site_type_symbol
_atom_site_fract_x
_atom_site_fract_y
_atom_site_fract_z
_atom_site_occupancy
Pm1 Pm 0.000 0.000 0.045 1
Pr1 Pr 0.000 0.000 0.207 1
Pr2 Pr 0.000 0.500 0.121 1
Ho1 Ho 0.000 0.000 0.306 1
Ho2 Ho 0.000 0.000 0.500 1
# Relative energy among the computed polymorphs: 2.98 eV per formula unit
# Crystal system: tetragonal
# Density of states at the Fermi level: 1.466 states/eV/atom
# DFT total energy: -48.76 eV/f.u.

# PBE Pm4Pr2Ho3, relaxed
data_Pm4Pr2Ho3
_chemical_formula_sum 'Pm4 Pr2 Ho3'
_cell_length_a 3.6347
_cell_length_b 3.6347
_cell_length_c 26.9421
_cell_angle_alpha 90.00
_cell_angle_beta 90.00
_cell_angle_gamma 120.00
_symmetry_space_group_name_H-M 'P 3 m 1'
_symmetry_Int_Tables_number 156
loop_
_symmetry_equiv_pos_as_xyz
'x,y,z'
'-y,x-y,z'
'-x+y,-x,z'
'-y,-x,z'
'-x+y,y,z'
'x,x-y,z'
loop_
_atom_site_label
_atom_site_type_symbol
_atom_site_fract_x
_atom_site_fract_y
_atom_site_fract_z
_atom_site_occupancy
Pm1 Pm 0.0000 0.0000 0.0000 1
Pm2 Pm 0.0000 0.0000 0.2118 1
Pm3 Pm 0.3333 0.6667 0.3232 1
Pm4 Pm 0.3333 0.6667 0.5371 1
Pr1 Pr 0.0000 0.0000 0.6511 1
Pr2 Pr 0.0000 0.0000 0.8664 1
Ho1 Ho 0.0000 0.0000 0.4304 1
Ho2 Ho 0.3333 0.6667 0.1041 1
Ho3 Ho 0.3333 0.6667 0.7606 1
# Relative energy among the computed polymorphs: 0.00 eV per formula unit
# Crystal system: trigonal
# Density of states at the Fermi level: 1.861 states/eV/atom
# DFT total energy: -41.82 eV/f.u.

> Which of these has the highest density of states at the Fermi level?

Pm4Pr2Ho3